{
  "formula": "LuZr2Ti",
  "functional": "PBE-GGA",
  "state": "optimized geometry",
  "relative_energy_mev_per_atom": 25,
  "formation_energy_ev_per_atom": 0.1379,
  "sg": "R-3m",
  "final_energy_ev_per_atom": -7.240,
  "cell": [[1.597, 0.922, 10.390], [-1.597, 0.922, 10.390], [0.000, -1.844, 10.390]],
  "species": ["Lu", "Zr", "Zr", "Ti"],
  "fractional_positions": [[0.000, 0.000, 0.000], [0.244, 0.244, 0.244], [0.756, 0.756, 0.756], [0.500, 0.500, 0.500]]
}